A relaxed structure of ZnCdCu2. Source: Alexandria via LeMat-Bulk, functional GGA-PBE.

Results
Energy of formation from the pure elements in meV per atom: 35.0
Symmetry: Imm2, No. 44

a b c (Å): 5.108 5.108 5.108
angles (deg): 144.32 129.45 63.41
Sites, in units of the cell vectors:
Zn (0.484, 0.484, 0.000)
Cu (0.016, 0.016, 0.000)
Cu (0.247, 0.747, 0.500)
Cd (0.753, 0.253, 0.500)